[1]
# LaThB12 (PBE-GGA, relaxed)
data_LaThB12
_symmetry_space_group_name_H-M 'P 4/m m m'
_symmetry_Int_Tables_number 123
_symmetry_space_group_name_Hall '-P 4 2'
_cell_length_a 4.131
_cell_length_b 4.131
_cell_length_c 8.272
_cell_angle_alpha 90.00
_cell_angle_beta 90.00
_cell_angle_gamma 90.00
loop_
_atom_site_label
_atom_site_type_symbol
_atom_site_fract_x
_atom_site_fract_y
_atom_site_fract_z
La1 La 0.000 0.000 0.000
Th1 Th 0.000 0.000 0.500
B1 B 0.198 0.500 0.251
B2 B 0.500 0.500 0.100
B3 B 0.500 0.500 0.401
# energy of formation	-526	meV/atom

[2]
# CaTlPb3 (PBE-GGA, relaxed)
data_CaTlPb3
_symmetry_space_group_name_H-M 'P m -3 m'
_symmetry_Int_Tables_number 221
_symmetry_space_group_name_Hall '-P 4 2 3'
_cell_length_a 5.860
_cell_length_b 5.860
_cell_length_c 5.860
_cell_angle_alpha 90.00
_cell_angle_beta 90.00
_cell_angle_gamma 90.00
loop_
_atom_site_label
_atom_site_type_symbol
_atom_site_fract_x
_atom_site_fract_y
_atom_site_fract_z
Ca1 Ca 0.000 0.000 0.000
Tl1 Tl 0.500 0.500 0.500
Pb1 Pb 0.000 0.500 0.500
# energy of formation	333	meV/atom

[3]
# Ba3Tl5Hg2 (PBE-GGA, relaxed)
data_Ba3Tl5Hg2
_symmetry_space_group_name_H-M 'I b a m'
_symmetry_Int_Tables_number 72
_symmetry_space_group_name_Hall '-I 2 2c'
_cell_length_a 7.241
_cell_length_b 18.780
_cell_length_c 11.113
_cell_angle_alpha 90.00
_cell_angle_beta 90.00
_cell_angle_gamma 90.00
loop_
_atom_site_label
_atom_site_type_symbol
_atom_site_fract_x
_atom_site_fract_y
_atom_site_fract_z
Ba1 Ba 0.000 0.000 0.250
Ba2 Ba 0.001 0.327 0.000
Tl1 Tl 0.000 0.202 0.250
Tl2 Tl 0.000 0.500 0.250
Tl3 Tl 0.227 0.500 0.000
Hg1 Hg 0.001 0.133 0.000
# energy of formation	-251	meV/atom

[4]
# PaTiBiTe (PBE-GGA, relaxed)
data_PaTiBiTe
_symmetry_space_group_name_H-M 'F -4 3 m'
_symmetry_Int_Tables_number 216
_symmetry_space_group_name_Hall 'F -4 2 3'
_cell_length_a 7.283
_cell_length_b 7.283
_cell_length_c 7.283
_cell_angle_alpha 90.00
_cell_angle_beta 90.00
_cell_angle_gamma 90.00
loop_
_atom_site_label
_atom_site_type_symbol
_atom_site_fract_x
_atom_site_fract_y
_atom_site_fract_z
Pa1 Pa 0.000 0.000 0.000
Ti1 Ti 0.000 0.000 0.500
Bi1 Bi 0.250 0.250 0.750
Te1 Te 0.250 0.250 0.250
# ΔE_f (raw)	-0.2692	eV per atom

Sequential volume output: 10.08, 40.25, 37.78, 24.14 Å³/atom
Sequential calculated total energy output: -99.84, -13.83, -82.86, -101.96 eV/cell